# Li2CdRu

Li2CdRu after structural relaxation (PBE-GGA, Alexandria via LeMat-Bulk).

Uncorrected energy, eV per atom: -3.35
Symmetry: I4/mmm
DOS at the Fermi energy, states/eV per cell: 0.5
Energy relative to the elements, eV/f.u.: 0.62

a b c (Å): 4.913 4.913 4.913
angles (deg): 133.28 133.28 68.21
Atoms (fractional coordinates):
1 Li 0.000 0.000 0.000
2 Li 0.500 0.500 0.000
3 Ru 0.250 0.750 0.500
4 Cd 0.750 0.250 0.500